# 1
# PBE Ca2Zn2CdPt5, relaxed
data_Ca2Zn2CdPt5
_cell_length_a 9.668
_cell_length_b 9.668
_cell_length_c 3.862
_cell_angle_alpha 90.00
_cell_angle_beta 90.00
_cell_angle_gamma 90.00
_symmetry_space_group_name_H-M 'P 4/m b m'
_symmetry_Int_Tables_number 127
_symmetry_space_group_name_Hall '-P 4 2ab'
loop_
_atom_site_label
_atom_site_fract_x
_atom_site_fract_y
_atom_site_fract_z
Ca1 0.176 0.324 0.000
Zn1 0.123 0.623 0.000
Cd1 0.000 0.000 0.000
Pt1 0.000 0.500 0.500
Pt2 0.066 0.792 0.500
# ΔH_f (0 K)   -0.680 eV/atom
# D(E_F)   0.349 states/eV per atom
# E_tot   -44.5 eV per formula unit

---

# 2
# PBE LaGa2SbOs, relaxed
data_LaGa2SbOs
_cell_length_a 4.875
_cell_length_b 4.875
_cell_length_c 5.437
_cell_angle_alpha 90.00
_cell_angle_beta 90.00
_cell_angle_gamma 90.00
_symmetry_space_group_name_H-M 'P 4/m m m'
_symmetry_Int_Tables_number 123
_symmetry_space_group_name_Hall '-P 4 2'
loop_
_atom_site_label
_atom_site_fract_x
_atom_site_fract_y
_atom_site_fract_z
La1 0.000 0.000 0.000
Ga1 0.000 0.500 0.500
Sb1 0.500 0.500 0.000
Os1 0.000 0.000 0.500
# D(E_F)   0.770 states/eV per atom
# Formation energy from raw total energies   -1.0 eV per formula unit
# E_tot   -27.4 eV per formula unit

---

# 3
# PBE LiIn2Pt, relaxed
data_LiIn2Pt
_cell_length_a 6.689
_cell_length_b 6.689
_cell_length_c 6.689
_cell_angle_alpha 90.00
_cell_angle_beta 90.00
_cell_angle_gamma 90.00
_symmetry_space_group_name_H-M 'F -4 3 m'
_symmetry_Int_Tables_number 216
_symmetry_space_group_name_Hall 'F -4 2 3'
loop_
_atom_site_label
_atom_site_fract_x
_atom_site_fract_y
_atom_site_fract_z
Li1 0.000 0.000 0.000
In1 0.000 0.000 0.500
In2 0.250 0.250 0.750
Pt1 0.250 0.250 0.250
# ΔH_f (0 K)   -0.294 eV/atom
# D(E_F)   0.575 states/eV per atom
# E_tot   -14.6 eV per formula unit

---

# 4
# PBE LaPr2Dy6, relaxed
data_LaPr2Dy6
_cell_length_a 14.387
_cell_length_b 14.038
_cell_length_c 6.520
_cell_angle_alpha 90.00
_cell_angle_beta 114.53
_cell_angle_gamma 90.00
_symmetry_space_group_name_H-M 'C 1 2/c 1'
_symmetry_Int_Tables_number 15
_symmetry_space_group_name_Hall '-C 2yc'
loop_
_atom_site_label
_atom_site_fract_x
_atom_site_fract_y
_atom_site_fract_z
La1 0.000 0.137 0.250
Pr1 0.148 0.459 0.470
Dy1 0.058 0.316 0.016
Dy2 0.127 0.069 0.958
Dy3 0.205 0.237 0.701
# ΔH_f (0 K)   0.198 eV/atom
# D(E_F)   1.373 states/eV per atom
# E_tot   -40.3 eV per formula unit

---

# 5
# PBE Dy2CdPd9, relaxed
data_Dy2CdPd9
_cell_length_a 4.089
_cell_length_b 4.089
_cell_length_c 12.306
_cell_angle_alpha 90.00
_cell_angle_beta 90.00
_cell_angle_gamma 90.00
_symmetry_space_group_name_H-M 'P 4/m m m'
_symmetry_Int_Tables_number 123
_symmetry_space_group_name_Hall '-P 4 2'
loop_
_atom_site_label
_atom_site_fract_x
_atom_site_fract_y
_atom_site_fract_z
Dy1 0.000 0.000 0.171
Cd1 0.000 0.000 0.500
Pd1 0.000 0.500 0.000
Pd2 0.000 0.500 0.337
Pd3 0.500 0.500 0.167
Pd4 0.500 0.500 0.500
# ΔH_f (0 K)   -0.661 eV/atom
# D(E_F)   0.889 states/eV per atom
# E_tot   -64.8 eV per formula unit

---

# 6
# PBE Pa12Ge6Ru, relaxed
data_Pa12Ge6Ru
_cell_length_a 10.6931
_cell_length_b 10.6931
_cell_length_c 12.6433
_cell_angle_alpha 90.00
_cell_angle_beta 90.00
_cell_angle_gamma 120.00
_symmetry_space_group_name_H-M 'R -3'
_symmetry_Int_Tables_number 148
_symmetry_space_group_name_Hall '-R 3'
loop_
_atom_site_label
_atom_site_fract_x
_atom_site_fract_y
_atom_site_fract_z
Pa1 0.0416 0.1839 0.3072
Pa2 0.0633 0.8435 0.9182
Ge1 0.0376 0.4438 0.2045
Ru1 0.0000 0.0000 0.5000
# ΔH_f (0 K)   -0.181 eV/atom
# D(E_F)   1.932 states/eV per atom
# E_tot   -154.4 eV per formula unit

---

# 7
# PBE InGa12Ag16, relaxed
data_InGa12Ag16
_cell_length_a 10.100
_cell_length_b 13.973
_cell_length_c 8.592
_cell_angle_alpha 90.00
_cell_angle_beta 120.83
_cell_angle_gamma 90.00
_symmetry_space_group_name_H-M 'C 1 m 1'
_symmetry_Int_Tables_number 8
_symmetry_space_group_name_Hall 'C -2y'
loop_
_atom_site_label
_atom_site_fract_x
_atom_site_fract_y
_atom_site_fract_z
In1 0.000 0.000 0.000
Ga1 0.113 0.319 0.468
Ga2 0.266 0.500 0.098
Ga3 0.329 0.094 0.285
Ga4 0.380 0.403 0.636
Ga5 0.416 0.188 0.086
Ga6 0.483 0.500 0.445
Ga7 0.497 0.096 0.884
Ag1 0.072 0.150 0.285
Ag2 0.080 0.500 0.258
Ag3 0.084 0.195 0.952
Ag4 0.112 0.500 0.627
Ag5 0.164 0.158 0.674
Ag6 0.260 0.342 0.885
Ag7 0.264 0.000 0.937
Ag8 0.269 0.326 0.262
Ag9 0.288 0.000 0.555
Ag10 0.409 0.205 0.591
# ΔH_f (0 K)   0.023 eV/atom
# D(E_F)   0.204 states/eV per atom
# E_tot   -84.0 eV per formula unit

---

# 8
# PBE NbNi2B2, relaxed
data_NbNi2B2
_cell_length_a 3.252
_cell_length_b 9.688
_cell_length_c 6.319
_cell_angle_alpha 90.00
_cell_angle_beta 90.00
_cell_angle_gamma 90.00
_symmetry_space_group_name_H-M 'C m c 21'
_symmetry_Int_Tables_number 36
_symmetry_space_group_name_Hall 'C 2c -2'
loop_
_atom_site_label
_atom_site_fract_x
_atom_site_fract_y
_atom_site_fract_z
Nb1 0.000 0.085 0.000
Ni1 0.000 0.189 0.607
Ni2 0.000 0.381 0.847
B1 0.000 0.261 0.301
B2 0.000 0.433 0.191
# ΔH_f (0 K)   -0.496 eV/atom
# D(E_F)   0.736 states/eV per atom
# E_tot   -37.5 eV per formula unit

---

# 9
# PBE La3Pm6NdEr2, relaxed
data_La3Pm6NdEr2
_cell_length_a 6.324
_cell_length_b 10.962
_cell_length_c 12.136
_cell_angle_alpha 90.00
_cell_angle_beta 100.07
_cell_angle_gamma 90.00
_symmetry_space_group_name_H-M 'C 1 2/m 1'
_symmetry_Int_Tables_number 12
_symmetry_space_group_name_Hall '-C 2y'
loop_
_atom_site_label
_atom_site_fract_x
_atom_site_fract_y
_atom_site_fract_z
La1 0.000 0.000 0.000
La2 0.000 0.333 0.000
Pm1 0.247 0.000 0.745
Pm2 0.249 0.333 0.745
Nd1 0.000 0.500 0.500
Er1 0.000 0.167 0.500
# ΔH_f (0 K)   0.020 eV/atom
# D(E_F)   1.643 states/eV per atom
# E_tot   -56.9 eV per formula unit

---

# 10
# PBE Ca5CePd6, relaxed
data_Ca5CePd6
_cell_length_a 5.012
_cell_length_b 15.004
_cell_length_c 7.138
_cell_angle_alpha 90.00
_cell_angle_beta 90.00
_cell_angle_gamma 90.00
_symmetry_space_group_name_H-M 'C m m m'
_symmetry_Int_Tables_number 65
_symmetry_space_group_name_Hall '-C 2 2'
loop_
_atom_site_label
_atom_site_fract_x
_atom_site_fract_y
_atom_site_fract_z
Ca1 0.000 0.000 0.000
Ca2 0.000 0.328 0.500
Ca3 0.000 0.333 0.000
Ce1 0.000 0.000 0.500
Pd1 0.000 0.158 0.256
Pd2 0.000 0.500 0.267
# ΔH_f (0 K)   -0.682 eV/atom
# D(E_F)   0.738 states/eV per atom
# E_tot   -55.3 eV per formula unit